Entry 1:
Here is NdDy4Sc3 after structural relaxation from Alexandria via LeMat-Bulk. Energies are from GGA-PBE.

DOS(E_F)   2.15 states/eV/atom
Energy relative to the lowest polymorph listed for this composition   147 meV/atom
Crystal system   orthorhombic
Energy of formation   0.182 eV/atom

Cell lengths 3.3270, 8.5963, 8.5965 Å; angles 81.59, 78.84, 78.84 degrees
With the nearest neighbours (Å) after each atom.
Fractional positions:
Sc: 0.7587 0.2414 0.2414  2 Dy 3.18, 2 Sc 3.33, 2 Nd 3.46
Sc: 0.2413 0.7586 0.7586  2 Dy 3.18, 2 Sc 3.33, 2 Nd 3.46
Sc: 0.0000 0.5000 0.5000  6 Sc 3.33-3.65, 8 Dy 3.63
Nd: 0.5000 0.0000 0.0000  4 Dy 3.32, 2 Nd 3.33, 4 Sc 3.46
Dy: 0.6330 0.1219 0.6123  1 Sc 3.18, 1 Nd 3.32, 5 Dy 3.33-3.39
Dy: 0.3670 0.8781 0.3877  1 Sc 3.18, 1 Nd 3.32, 5 Dy 3.33-3.39
Dy: 0.3670 0.3877 0.8781  1 Sc 3.18, 1 Nd 3.32, 5 Dy 3.33-3.39
Dy: 0.6330 0.6123 0.1219  1 Sc 3.18, 1 Nd 3.32, 5 Dy 3.33-3.39

Entry 2:
Here is Nd2DySc after structural relaxation from Alexandria via LeMat-Bulk. Energies are from GGA-PBE.

DOS(E_F)   1.39 states/eV/atom
Energy relative to the lowest polymorph listed for this composition   2 meV/atom
Crystal system   monoclinic
Energy of formation   0.042 eV/atom

Cell lengths 6.0476, 7.0295, 7.0295 Å; angles 61.39, 75.37, 75.37 degrees
With the nearest neighbours (Å) after each atom.
Fractional positions:
Nd: 0.2499 0.6223 0.1280  4 Sc 3.48-3.53, 4 Dy 3.50-3.55, 4 Nd 3.55-3.63
Nd: 0.7501 0.8720 0.3777  4 Sc 3.48-3.53, 4 Dy 3.50-3.55, 4 Nd 3.55-3.63
Nd: 0.7501 0.3777 0.8720  4 Sc 3.48-3.53, 4 Dy 3.50-3.55, 4 Nd 3.55-3.63
Nd: 0.2499 0.1280 0.6223  4 Sc 3.48-3.53, 4 Dy 3.50-3.55, 4 Nd 3.55-3.63
Dy: 0.7543 0.8739 0.8739  8 Nd 3.50-3.55, 3 Sc 3.59-3.60, 1 Dy 3.64
Dy: 0.2457 0.1261 0.1261  8 Nd 3.50-3.55, 3 Sc 3.59-3.60, 1 Dy 3.64
Sc: 0.7452 0.3764 0.3764  8 Nd 3.48-3.53, 1 Sc 3.54, 3 Dy 3.59-3.60
Sc: 0.2548 0.6236 0.6236  8 Nd 3.48-3.53, 1 Sc 3.54, 3 Dy 3.59-3.60

Entry 3:
Here is Nd7Dy2Sc2 after structural relaxation from Alexandria via LeMat-Bulk. Energies are from GGA-PBE.

DOS(E_F)   1.63 states/eV/atom
Energy relative to the lowest polymorph listed for this composition   208 meV/atom
Crystal system   orthorhombic
Energy of formation   0.354 eV/atom

Cell lengths 6.6795, 10.0808, 6.6795 Å; angles 90.00, 122.17, 90.00 degrees
With the nearest neighbours (Å) after each atom.
Fractional positions:
Nd: 0.9998 0.3177 0.5003  4 Nd 3.23-3.52, 2 Sc 3.45-3.46, 2 Dy 3.61
Nd: 0.5003 0.6823 0.9998  4 Nd 3.23-3.52, 2 Sc 3.45-3.46, 2 Dy 3.61
Nd: 0.0002 0.6823 0.4997  4 Nd 3.23-3.52, 2 Sc 3.45-3.46, 2 Dy 3.61
Nd: 0.4997 0.3177 0.0002  4 Nd 3.23-3.52, 2 Sc 3.45-3.46, 2 Dy 3.61
Nd: 0.0000 0.0000 0.0000  2 Dy 3.35
Nd: 0.5002 0.7915 0.4998  2 Dy 3.26-3.27, 2 Sc 3.34, 4 Nd 3.52
Nd: 0.4998 0.2085 0.5002  2 Dy 3.26-3.27, 2 Sc 3.34, 4 Nd 3.52
Dy: 0.7138 0.0000 0.2862  7 Nd 3.26-3.61, 2 Dy 3.34
Dy: 0.2862 0.0000 0.7138  7 Nd 3.26-3.61, 2 Dy 3.34
Sc: 0.7470 0.5000 0.7470  2 Sc 3.19-3.27, 6 Nd 3.34-3.46
Sc: 0.2530 0.5000 0.2530  2 Sc 3.19-3.27, 6 Nd 3.34-3.46

Entry 4:
Here is NdDy7Sc4 after structural relaxation from Alexandria via LeMat-Bulk. Energies are from GGA-PBE.

DOS(E_F)   1.39 states/eV/atom
Crystal system   triclinic
Energy of formation   0.022 eV/atom

Cell lengths 6.9816, 9.2335, 8.5758 Å; angles 81.07, 90.03, 40.88 degrees
With the nearest neighbours (Å) after each atom.
Fractional positions:
Nd: 0.0000 0.0000 0.0000  2 Sc 3.47, 10 Dy 3.48-3.53
Dy: 0.7532 0.5022 0.0049  7 Dy 3.42-3.57, 3 Sc 3.44-3.49, 2 Nd 3.49-3.53
Dy: 0.2468 0.4978 0.9951  7 Dy 3.42-3.57, 3 Sc 3.44-3.49, 2 Nd 3.49-3.53
Dy: 0.9728 0.2845 0.6599  6 Sc 3.33-3.58, 5 Dy 3.39-3.56, 1 Nd 3.51
Dy: 0.0272 0.7155 0.3401  6 Sc 3.33-3.58, 5 Dy 3.39-3.56, 1 Nd 3.51
Dy: 0.2252 0.7754 0.6626  5 Sc 3.38-3.52, 6 Dy 3.39-3.56, 1 Nd 3.48
Dy: 0.5000 0.0000 0.0000  4 Sc 3.43-3.47, 6 Dy 3.45-3.49, 2 Nd 3.49
Dy: 0.7748 0.2246 0.3374  5 Sc 3.38-3.52, 6 Dy 3.39-3.56, 1 Nd 3.48
Sc: 0.5309 0.7252 0.3380  3 Sc 3.33-3.51, 8 Dy 3.35-3.58, 1 Nd 3.47
Sc: 0.4691 0.2748 0.6620  3 Sc 3.33-3.51, 8 Dy 3.35-3.58, 1 Nd 3.47
Sc: 0.7157 0.7840 0.6597  4 Sc 3.30-3.51, 8 Dy 3.33-3.50
Sc: 0.2843 0.2160 0.3403  4 Sc 3.30-3.51, 8 Dy 3.33-3.50

Entry 5:
Here is Nd4Dy10Sc after structural relaxation from Alexandria via LeMat-Bulk. Energies are from GGA-PBE.

DOS(E_F)   1.49 states/eV/atom
Crystal system   tetragonal
Energy of formation   0.254 eV/atom

Cell lengths 7.7292, 8.9111, 8.9111 Å; angles 79.16, 64.30, 64.30 degrees
With the nearest neighbours (Å) after each atom.
Fractional positions:
Nd: 0.2296 0.0000 0.5407  8 Dy 3.43-3.56, 1 Sc 3.69
Nd: 0.7704 0.4593 0.0000  8 Dy 3.43-3.56, 1 Sc 3.69
Nd: 0.2296 0.5407 0.0000  8 Dy 3.43-3.56, 1 Sc 3.69
Nd: 0.7704 0.0000 0.4593  8 Dy 3.43-3.56, 1 Sc 3.69
Dy: 0.2500 0.5000 0.5000  4 Dy 3.33
Dy: 0.7128 0.2075 0.7925  1 Sc 3.24, 4 Dy 3.29-3.33, 4 Nd 3.43-3.56
Dy: 0.0798 0.2075 0.2075  1 Sc 3.24, 4 Dy 3.29-3.33, 4 Nd 3.43-3.56
Dy: 0.4947 0.7925 0.7925  1 Sc 3.24, 4 Dy 3.29-3.33, 4 Nd 3.43-3.56
Dy: 0.7128 0.7925 0.2075  1 Sc 3.24, 4 Dy 3.29-3.33, 4 Nd 3.43-3.56
Dy: 0.2872 0.7925 0.2075  1 Sc 3.24, 4 Dy 3.29-3.33, 4 Nd 3.43-3.56
Dy: 0.7500 0.5000 0.5000  4 Dy 3.33
Dy: 0.2872 0.2075 0.7925  1 Sc 3.24, 4 Dy 3.29-3.33, 4 Nd 3.43-3.56
Dy: 0.5053 0.2075 0.2075  1 Sc 3.24, 4 Dy 3.29-3.33, 4 Nd 3.43-3.56
Dy: 0.9202 0.7925 0.7925  1 Sc 3.24, 4 Dy 3.29-3.33, 4 Nd 3.43-3.56
Sc: 0.0000 0.0000 0.0000  8 Dy 3.24

Entry 6:
Here is Nd2DySc after structural relaxation from Alexandria via LeMat-Bulk. Energies are from GGA-PBE.

DOS(E_F)   1.49 states/eV/atom
Energy relative to the lowest polymorph listed for this composition   0 meV/atom
Crystal system   tetragonal
Energy of formation   0.040 eV/atom

Cell lengths 3.6088, 3.6088, 9.6423 Å; angles 90.00, 90.00, 90.00 degrees
With the nearest neighbours (Å) after each atom.
Fractional positions:
Sc: 0.5000 0.5000 0.0000  8 Nd 3.43, 4 Sc 3.61
Nd: 0.0000 0.0000 0.7617  4 Sc 3.43, 4 Dy 3.59, 4 Nd 3.61
Nd: 0.0000 0.0000 0.2383  4 Sc 3.43, 4 Dy 3.59, 4 Nd 3.61
Dy: 0.5000 0.5000 0.5000  8 Nd 3.59, 4 Dy 3.61

Entry 7:
Here is Nd3Dy2Sc2 after structural relaxation from Alexandria via LeMat-Bulk. Energies are from GGA-PBE.

DOS(E_F)   1.50 states/eV/atom
Energy relative to the lowest polymorph listed for this composition   0 meV/atom
Crystal system   triclinic
Energy of formation   0.040 eV/atom

Cell lengths 3.5039, 8.4282, 8.5726 Å; angles 117.66, 90.04, 102.03 degrees
With the nearest neighbours (Å) after each atom.
Fractional positions:
Nd: 0.0000 0.0000 0.0000  2 Sc 3.33, 6 Nd 3.50-3.57, 4 Dy 3.67
Nd: 0.2939 0.5906 0.7076  3 Sc 3.32-3.47, 6 Nd 3.50-3.60, 3 Dy 3.65-3.70
Nd: 0.7061 0.4094 0.2924  3 Sc 3.32-3.47, 6 Nd 3.50-3.60, 3 Dy 3.65-3.70
Dy: 0.3675 0.7359 0.1816  4 Sc 3.43-3.46, 2 Dy 3.50, 5 Nd 3.65-3.70
Dy: 0.6325 0.2641 0.8184  4 Sc 3.43-3.46, 2 Dy 3.50, 5 Nd 3.65-3.70
Sc: 0.0710 0.1396 0.4341  1 Sc 3.01, 2 Nd 3.32-3.33
Sc: 0.9290 0.8604 0.5659  1 Sc 3.01, 2 Nd 3.32-3.33

Entry 8:
Here is Nd6DySc after structural relaxation from Alexandria via LeMat-Bulk. Energies are from GGA-PBE.

DOS(E_F)   1.53 states/eV/atom
Crystal system   tetragonal
Energy of formation   0.028 eV/atom

Cell lengths 5.1040, 5.1040, 10.2120 Å; angles 90.00, 90.00, 90.00 degrees
With the nearest neighbours (Å) after each atom.
Fractional positions:
Nd: 0.5000 0.5000 0.0000  4 Dy 3.61, 8 Nd 3.64
Nd: 0.5000 0.5000 0.5000  8 Nd 3.58, 4 Sc 3.61
Nd: 0.5000 0.0000 0.2547  8 Nd 3.58-3.64, 2 Sc 3.58, 2 Dy 3.64
Nd: 0.5000 0.0000 0.7453  8 Nd 3.58-3.64, 2 Sc 3.58, 2 Dy 3.64
Nd: 0.0000 0.5000 0.2547  8 Nd 3.58-3.64, 2 Sc 3.58, 2 Dy 3.64
Nd: 0.0000 0.5000 0.7453  8 Nd 3.58-3.64, 2 Sc 3.58, 2 Dy 3.64
Dy: 0.0000 0.0000 0.0000  12 Nd 3.61-3.64
Sc: 0.0000 0.0000 0.5000  12 Nd 3.58-3.61

Entry 9:
Here is Nd2DySc4 after structural relaxation from Alexandria via LeMat-Bulk. Energies are from GGA-PBE.

DOS(E_F)   1.67 states/eV/atom
Crystal system   tetragonal
Energy of formation   0.656 eV/atom

Cell lengths 5.1998, 5.1998, 9.0845 Å; angles 106.63, 106.63, 90.00 degrees
With the nearest neighbours (Å) after each atom.
Fractional positions:
Nd: 0.6289 0.6289 0.2579  5 Sc 3.30-3.37
Nd: 0.3711 0.3711 0.7421  5 Sc 3.30-3.37
Dy: 0.0000 0.0000 0.0000  6 Sc 2.60-2.86
Sc: 0.8276 0.8276 0.6552  1 Dy 2.86
Sc: 0.1724 0.1724 0.3448  1 Dy 2.86
Sc: 0.0000 0.5000 0.0000  2 Dy 2.60
Sc: 0.5000 0.0000 0.0000  2 Dy 2.60

Entry 10:
Here is Nd12DySc6 after structural relaxation from Alexandria via LeMat-Bulk. Energies are from GGA-PBE.

DOS(E_F)   1.51 states/eV/atom
Energy relative to the lowest polymorph listed for this composition   38 meV/atom
Crystal system   trigonal
Energy of formation   0.270 eV/atom

Cell lengths 9.0549, 9.0549, 9.0549 Å; angles 106.72, 106.72, 106.72 degrees
With the nearest neighbours (Å) after each atom.
Fractional positions:
Nd: 0.4770 0.1967 0.5699  3 Sc 3.28-3.53, 6 Nd 3.32-3.61
Nd: 0.1967 0.5699 0.4770  3 Sc 3.28-3.53, 6 Nd 3.32-3.61
Nd: 0.5699 0.4770 0.1967  3 Sc 3.28-3.53, 6 Nd 3.32-3.61
Nd: 0.5230 0.8033 0.4301  3 Sc 3.28-3.53, 6 Nd 3.32-3.61
Nd: 0.8033 0.4301 0.5230  3 Sc 3.28-3.53, 6 Nd 3.32-3.61
Nd: 0.4301 0.5230 0.8033  3 Sc 3.28-3.53, 6 Nd 3.32-3.61
Nd: 0.2793 0.1342 0.8287  5 Sc 3.31-3.63, 3 Nd 3.41-3.49, 1 Dy 3.44
Nd: 0.1713 0.7207 0.8658  5 Sc 3.31-3.63, 3 Nd 3.41-3.49, 1 Dy 3.44
Nd: 0.8658 0.1713 0.7207  5 Sc 3.31-3.63, 3 Nd 3.41-3.49, 1 Dy 3.44
Nd: 0.7207 0.8658 0.1713  5 Sc 3.31-3.63, 3 Nd 3.41-3.49, 1 Dy 3.44
Nd: 0.8287 0.2793 0.1342  5 Sc 3.31-3.63, 3 Nd 3.41-3.49, 1 Dy 3.44
Nd: 0.1342 0.8287 0.2793  5 Sc 3.31-3.63, 3 Nd 3.41-3.49, 1 Dy 3.44
Dy: 0.0000 0.0000 0.0000  6 Nd 3.44, 6 Sc 3.82
Sc: 0.0715 0.1862 0.4634  8 Nd 3.28-3.63, 1 Sc 3.57
Sc: 0.8138 0.5366 0.9285  8 Nd 3.28-3.63, 1 Sc 3.57
Sc: 0.5366 0.9285 0.8138  8 Nd 3.28-3.63, 1 Sc 3.57
Sc: 0.9285 0.8138 0.5366  8 Nd 3.28-3.63, 1 Sc 3.57
Sc: 0.1862 0.4634 0.0715  8 Nd 3.28-3.63, 1 Sc 3.57
Sc: 0.4634 0.0715 0.1862  8 Nd 3.28-3.63, 1 Sc 3.57

Entry 11:
Here is Nd7Dy3Sc after structural relaxation from Alexandria via LeMat-Bulk. Energies are from GGA-PBE.

DOS(E_F)   1.29 states/eV/atom
Energy relative to the lowest polymorph listed for this composition   135 meV/atom
Crystal system   monoclinic
Energy of formation   0.225 eV/atom

Cell lengths 5.8439, 8.5566, 8.5566 Å; angles 83.51, 109.99, 109.99 degrees
With the nearest neighbours (Å) after each atom.
Fractional positions:
Nd: 0.2155 0.2143 0.2143  1 Sc 3.24, 2 Dy 3.36, 2 Nd 3.45
Nd: 0.3102 0.0233 0.5975  3 Dy 3.24-3.63, 3 Nd 3.33-3.45
Nd: 0.6898 0.4025 0.9767  3 Dy 3.24-3.63, 3 Nd 3.33-3.45
Nd: 0.3102 0.5975 0.0233  3 Dy 3.24-3.63, 3 Nd 3.33-3.45
Nd: 0.0000 0.5000 0.5000  2 Sc 2.92
Nd: 0.6898 0.9767 0.4025  3 Dy 3.24-3.63, 3 Nd 3.33-3.45
Nd: 0.7845 0.7857 0.7857  1 Sc 3.24, 2 Dy 3.36, 2 Nd 3.45
Dy: 0.0000 0.7969 0.2031  9 Nd 3.36-3.65, 2 Dy 3.73
Dy: 0.5000 0.0000 0.0000  4 Nd 3.24
Dy: 0.0000 0.2031 0.7969  9 Nd 3.36-3.65, 2 Dy 3.73
Sc: 0.5000 0.5000 0.5000  4 Nd 2.92-3.24

| no. | calculated volume (Å³ per atom) | size of the total moment (μB/cell) | final energy (eV per cell) |
| --- | --- | --- | --- |
| 1 | 29.39 | 0.00 | -40.72 |
| 2 | 31.35 | 0.00 | -40.60 |
| 3 | 34.61 | 0.00 | -51.35 |
| 4 | 29.29 | 0.00 | -62.04 |
| 5 | 33.22 | 0.00 | -67.62 |
| 6 | 31.39 | 0.00 | -20.31 |
| 7 | 31.13 | 0.00 | -35.89 |
| 8 | 33.25 | 0.00 | -39.32 |
| 9 | 32.09 | 0.09 | -34.87 |
| 10 | 32.79 | 0.00 | -94.68 |
| 11 | 34.35 | 0.00 | -51.04 |